(1)
Dy2TiCd | PBE-GGA | relaxed

For the spin magnetization, the calculation gives 2.728 μB per cell. As for the polymorph energy (0 for the lowest one): 5.75 kJ/mol of atoms. For the raw total energy, the calculation gives -0.329 Ry per atom. The calculation puts the energy of formation from the pure elements at 0.022 eV/atom.

The space group is P4/mmm (No. 123) and the conventional cell measures 5.086, 5.086 and 3.920 Å, with angles of 90.00, 90.00 and 90.00 degrees. The asymmetric unit holds Dy at (0.000, 0.500, 0.000), Ti at (0.000, 0.000, 0.500) and Cd at (0.500, 0.500, 0.500).

***

(2)
YCr2Tc2 | PBE-GGA | relaxed

For the spin magnetization, the calculation gives 0.000 μB per cell. As for the polymorph energy (0 for the lowest one): 0.00 kJ/mol of atoms. For the raw total energy, the calculation gives -0.675 Ry per atom. The calculation puts the energy of formation from the pure elements at 0.110 eV/atom.

The space group is I4/mmm (No. 139) and the conventional cell measures 4.145, 4.145 and 10.113 Å, with angles of 90.00, 90.00 and 90.00 degrees. The asymmetric unit holds Y at (0.000, 0.000, 0.000), Cr at (0.000, 0.500, 0.250) and Tc at (0.000, 0.000, 0.371).

***

(3)
PrPuH8Rh2 | PBE-GGA | relaxed

For the spin magnetization, the calculation gives 15.170 μB per cell. For the raw total energy, the calculation gives -0.390 Ry per atom.

The space group is R-3m (No. 166, hexagonal axes) and the conventional cell measures 4.6519, 4.6519 and 19.0262 Å, with angles of 90.00, 90.00 and 120.00 degrees. The asymmetric unit holds Pr at (0.0000, 0.0000, 0.0000), Pu at (0.0000, 0.0000, 0.5000), H at (0.0000, 0.0000, 0.1345), H at (0.0206, 0.5103, 0.0589) and Rh at (0.0000, 0.0000, 0.2255).

***

(4)
La5SmSn3 | PBE-GGA | relaxed

For the spin magnetization, the calculation gives 6.765 μB per cell. As for the polymorph energy (0 for the lowest one): 0.00 kJ/mol of atoms. For the raw total energy, the calculation gives -0.381 Ry per atom. The calculation puts the energy of formation from the pure elements at -0.593 eV/atom.

The space group is P6_3/mcm (No. 193) and the conventional cell measures 9.7990, 9.7990 and 6.8908 Å, with angles of 90.00, 90.00 and 120.00 degrees. The asymmetric unit holds La at (0.0000, 0.3336, 0.2500), La at (0.3333, 0.6667, 0.0000), Sm at (0.0000, 0.0000, 0.0000) and Sn at (0.0000, 0.3309, 0.7500).